Below is crystalline CaAg2Se at its relaxed geometry, with properties calculated at the PBE level.

a b c (Å): 4.282 4.282 6.636
angles (deg): 71.15 71.15 60.02
Sites, in units of the cell vectors:
Ca 0.491 0.491 0.528
Se 0.742 0.742 0.776
Ag 0.003 0.003 0.992
Ag 0.265 0.265 0.204

=====

Below is crystalline CaAg2Se2 at its relaxed geometry, with properties calculated at the PBE level.

a b c (Å): 7.727 7.727 3.900
angles (deg): 90.00 90.00 90.00
Sites, in units of the cell vectors:
Ca 0.000 0.000 0.000
Ca 0.500 0.500 0.000
Se 0.324 0.824 0.000
Se 0.824 0.676 0.000
Se 0.676 0.176 0.000
Se 0.176 0.324 0.000
Ag 0.132 0.632 0.500
Ag 0.632 0.868 0.500
Ag 0.868 0.368 0.500
Ag 0.368 0.132 0.500

=====

Below is crystalline CaAg2Se at its relaxed geometry, with properties calculated at the PBE level.

a b c (Å): 3.907 3.907 6.345
angles (deg): 90.00 90.00 90.00
Sites, in units of the cell vectors:
Ca 0.000 0.000 0.557
Se 0.500 0.500 0.664
Ag 0.000 0.000 0.077
Ag 0.500 0.500 0.202

=====

Below is crystalline CaAgSe at its relaxed geometry, with properties calculated at the PBE level.

a b c (Å): 4.856 4.856 4.856
angles (deg): 60.00 60.00 60.00
Sites, in units of the cell vectors:
Ca 0.250 0.250 0.250
Se 0.000 0.000 0.000
Ag 0.500 0.500 0.500

E above lowest polymorph, meV per atom: 101

=====

Below is crystalline CaAg4Se at its relaxed geometry, with properties calculated at the PBE level.

a b c (Å): 5.627 5.627 5.627
angles (deg): 60.00 60.00 60.00
Sites, in units of the cell vectors:
Ca 0.750 0.750 0.750
Ag 0.375 0.875 0.375
Ag 0.875 0.375 0.375
Ag 0.375 0.375 0.875
Ag 0.375 0.375 0.375
Se 0.000 0.000 0.000

=====

Below is crystalline CaAg2Se at its relaxed geometry, with properties calculated at the PBE level.

a b c (Å): 4.008 4.008 5.665
angles (deg): 90.00 90.00 89.98
Sites, in units of the cell vectors:
Ca 0.500 0.500 0.250
Se 0.500 0.500 0.750
Ag 0.000 0.000 0.001
Ag 0.000 0.000 0.499

=====

Below is crystalline CaAg2Se at its relaxed geometry, with properties calculated at the PBE level.

a b c (Å): 3.838 3.900 6.478
angles (deg): 72.46 90.00 90.00
Sites, in units of the cell vectors:
Ca 0.000 0.535 0.556
Se 0.500 0.967 0.692
Ag 0.000 0.790 0.047
Ag 0.500 0.209 0.206

=====

Below is crystalline CaAgSe at its relaxed geometry, with properties calculated at the PBE level.

a b c (Å): 4.856 4.856 4.856
angles (deg): 60.00 60.00 60.00
Sites, in units of the cell vectors:
Ca 0.500 0.500 0.500
Se 0.250 0.250 0.250
Ag 0.000 0.000 0.000

E above lowest polymorph, meV per atom: 47

=====

Below is crystalline CaAgSe4 at its relaxed geometry, with properties calculated at the PBE level.

a b c (Å): 5.818 5.818 5.818
angles (deg): 60.00 60.00 60.00
Sites, in units of the cell vectors:
Ca 0.000 0.000 0.000
Ag 0.750 0.750 0.750
Se 0.873 0.376 0.376
Se 0.376 0.376 0.873
Se 0.376 0.873 0.376
Se 0.376 0.376 0.376

=====

Below is crystalline CaAg2Se at its relaxed geometry, with properties calculated at the PBE level.

a b c (Å): 6.311 6.311 6.311
angles (deg): 142.73 142.73 53.73
Sites, in units of the cell vectors:
Ca 0.250 0.750 0.500
Se 0.750 0.250 0.500
Ag 0.000 0.000 0.000
Ag 0.500 0.500 0.000

=====

Below is crystalline CaAg2Se at its relaxed geometry, with properties calculated at the PBE level.

a b c (Å): 5.009 5.012 5.158
angles (deg): 121.01 120.96 90.15
Sites, in units of the cell vectors:
Ca 0.499 0.501 0.000
Ag 0.007 0.993 0.000
Ag 0.261 0.739 0.500
Se 0.734 0.266 0.500

=====

Below is crystalline CaAg2Se2 at its relaxed geometry, with properties calculated at the PBE level.

a b c (Å): 3.989 3.989 7.683
angles (deg): 74.95 74.95 90.00
Sites, in units of the cell vectors:
Ca 0.000 0.000 0.000
Se 0.390 0.390 0.221
Se 0.610 0.610 0.779
Ag 0.750 0.250 0.500
Ag 0.250 0.750 0.500

=====

Below is crystalline Ca2AgSe2 at its relaxed geometry, with properties calculated at the PBE level.

a b c (Å): 7.981 7.981 3.825
angles (deg): 90.00 90.00 90.00
Sites, in units of the cell vectors:
Ca 0.155 0.655 0.500
Ca 0.655 0.845 0.500
Ca 0.845 0.345 0.500
Ca 0.345 0.155 0.500
Se 0.345 0.845 0.000
Se 0.845 0.655 0.000
Se 0.655 0.155 0.000
Se 0.155 0.345 0.000
Ag 0.000 0.000 0.000
Ag 0.500 0.500 0.000

=====

Below is crystalline CaAg3Se at its relaxed geometry, with properties calculated at the PBE level.

a b c (Å): 5.348 5.348 5.348
angles (deg): 90.00 90.00 90.00
Sites, in units of the cell vectors:
Ca 0.000 0.000 0.000
Se 0.500 0.500 0.500
Ag 0.000 0.500 0.000
Ag 0.000 0.000 0.500
Ag 0.500 0.000 0.000

E above lowest polymorph, meV per atom: 811

=====

Below is crystalline CaAg2Se2 at its relaxed geometry, with properties calculated at the PBE level.

a b c (Å): 5.236 5.236 5.752
angles (deg): 62.92 62.92 90.00
Sites, in units of the cell vectors:
Ca 0.000 0.000 0.000
Se 0.750 0.250 0.500
Se 0.250 0.750 0.500
Ag 0.344 0.344 0.313
Ag 0.656 0.656 0.687

=====

Below is crystalline CaAgSe at its relaxed geometry, with properties calculated at the PBE level.

a b c (Å): 4.409 4.409 4.420
angles (deg): 90.00 90.00 120.00
Sites, in units of the cell vectors:
Ca 0.667 0.333 0.352
Se 0.333 0.667 0.717
Ag 0.000 0.000 0.931

E above lowest polymorph, meV per atom: 0

=====

Below is crystalline Ca4AgSe at its relaxed geometry, with properties calculated at the PBE level.

a b c (Å): 6.616 6.616 6.616
angles (deg): 60.00 60.00 60.00
Sites, in units of the cell vectors:
Ca 0.874 0.375 0.375
Ca 0.375 0.375 0.874
Ca 0.375 0.874 0.375
Ca 0.375 0.375 0.375
Ag 0.000 0.000 0.000
Se 0.750 0.750 0.750

=====

Below is crystalline CaAg3Se at its relaxed geometry, with properties calculated at the PBE level.

a b c (Å): 5.133 5.133 5.133
angles (deg): 90.00 90.00 90.00
Sites, in units of the cell vectors:
Ca 0.500 0.500 0.500
Se 0.000 0.000 0.000
Ag 0.000 0.500 0.000
Ag 0.000 0.000 0.500
Ag 0.500 0.000 0.000

E above lowest polymorph, meV per atom: 0

=====

Below is crystalline CaAgSe at its relaxed geometry, with properties calculated at the PBE level.

a b c (Å): 5.617 5.617 3.903
angles (deg): 69.68 69.66 40.66
Sites, in units of the cell vectors:
Ca 0.307 0.307 0.693
Se 0.702 0.702 0.298
Ag 0.991 0.991 0.009

E above lowest polymorph, meV per atom: 19

=====

Below is crystalline CaAg2Se at its relaxed geometry, with properties calculated at the PBE level.

a b c (Å): 4.032 4.032 11.934
angles (deg): 80.27 80.27 90.00
Sites, in units of the cell vectors:
Ca 0.500 0.500 0.000
Ca 0.250 0.750 0.500
Se 0.000 0.000 0.000
Se 0.750 0.250 0.500
Ag 0.625 0.125 0.250
Ag 0.125 0.625 0.250
Ag 0.375 0.375 0.750
Ag 0.875 0.875 0.750

=====

no.,raw formation energy (kJ per mole of atoms)
1,-48.8
2,-52.1
3,-55.9
4,-61.7
5,-26.3
6,-45.7
7,-61.8
8,-66.9
9,-5.6
10,-53.9
11,-43.6
12,-68.5
13,-119.0
14,91.6
15,-46.8
16,-71.4
17,16.1
18,13.3
19,-69.6
20,-55.9